Record 1
Entry from the Alexandria database: an optimized crystal structure of Sr2SiP (PBE-GGA).

Lattice parameters (Å, degrees): 3.824 3.985 6.933 90.00 90.00 90.00
Positions (direct):
P: 0.500 0.500 0.250
Si: 0.500 0.500 0.750
Sr: 0.000 0.000 0.017
Sr: 0.000 0.000 0.483

- polymorph energy (0 for the lowest one) (meV per atom) = 0
- DOS at the Fermi energy (states/eV/f.u.) = 1.9
- crystal system = orthorhombic
- magnetic moment (μB/cell) = 0.000
- symmetry = Pmmm (47)
- formation energy without anion corrections (eV per atom) = -0.44

Record 2
Entry from the Alexandria database: an optimized crystal structure of Sr4SiP4 (PBE-GGA).

Lattice parameters (Å, degrees): 6.414 8.710 8.710 90.00 90.00 90.00
Positions (direct):
Sr: 0.321 0.269 0.000
Sr: 0.821 0.500 0.769
Sr: 0.321 0.731 0.000
Sr: 0.179 0.231 0.500
Sr: 0.679 0.000 0.731
Sr: 0.179 0.769 0.500
Sr: 0.821 0.500 0.231
Sr: 0.679 0.000 0.269
Si: 0.000 0.000 0.000
Si: 0.500 0.500 0.500
P: 0.697 0.721 0.500
P: 0.697 0.279 0.500
P: 0.197 0.000 0.779
P: 0.803 0.221 0.000
P: 0.803 0.779 0.000
P: 0.303 0.500 0.279
P: 0.303 0.500 0.721
P: 0.197 0.000 0.221

- polymorph energy (0 for the lowest one) (meV per atom) = 31
- crystal system = tetragonal
- magnetic moment (μB/cell) = 0.000
- symmetry = P4_2/nmc (137)
- formation energy without anion corrections (eV per atom) = -1.00

Record 3
Entry from the Alexandria database: an optimized crystal structure of Sr2SiP (PBE-GGA).

Lattice parameters (Å, degrees): 8.315 8.315 6.795 52.28 52.28 90.00
Positions (direct):
Sr: 0.648 0.125 0.250
Sr: 0.102 0.625 0.250
Sr: 0.375 0.352 0.750
Sr: 0.875 0.898 0.750
Si: 0.500 0.500 0.000
Si: 0.250 0.750 0.500
P: 0.000 0.000 0.000
P: 0.750 0.250 0.500

- polymorph energy (0 for the lowest one) (meV per atom) = 265
- DOS at the Fermi energy (states/eV/f.u.) = 3.2
- crystal system = tetragonal
- magnetic moment (μB/cell) = 0.000
- symmetry = I-42d (122)
- formation energy without anion corrections (eV per atom) = -0.17

Record 4
Entry from the Alexandria database: an optimized crystal structure of Sr5Si2P (PBE-GGA).

Lattice parameters (Å, degrees): 8.075 8.075 9.537 115.05 115.05 90.00
Positions (direct):
Sr: 0.532 0.679 0.711
Sr: 0.821 0.968 0.289
Sr: 0.000 0.000 0.000
Sr: 0.500 0.500 0.000
Sr: 0.179 0.032 0.711
Sr: 0.679 0.179 0.711
Sr: 0.032 0.532 0.711
Sr: 0.321 0.821 0.289
Sr: 0.968 0.468 0.289
Sr: 0.468 0.321 0.289
Si: 0.110 0.390 0.000
Si: 0.610 0.110 0.000
Si: 0.390 0.890 0.000
Si: 0.890 0.610 0.000
P: 0.750 0.750 0.500
P: 0.250 0.250 0.500

- DOS at the Fermi energy (states/eV/f.u.) = 1.4
- crystal system = tetragonal
- magnetic moment (μB/cell) = 1.824
- symmetry = I4/mcm (140)
- formation energy without anion corrections (eV per atom) = -0.56

Record 5
Entry from the Alexandria database: an optimized crystal structure of SrSi3P (PBE-GGA).

Lattice parameters (Å, degrees): 5.473 5.473 5.473 90.00 90.00 90.00
Positions (direct):
Sr: 0.000 0.000 0.000
Si: 0.000 0.500 0.000
Si: 0.000 0.000 0.500
Si: 0.500 0.000 0.000
P: 0.500 0.500 0.500

- polymorph energy (0 for the lowest one) (meV per atom) = 1749
- DOS at the Fermi energy (states/eV/f.u.) = 5.0
- crystal system = cubic
- magnetic moment (μB/cell) = 0.000
- symmetry = Pm-3m (221)
- formation energy without anion corrections (eV per atom) = 2.10

Record 6
Entry from the Alexandria database: an optimized crystal structure of Sr4SiP4 (PBE-GGA).

Lattice parameters (Å, degrees): 12.482 12.482 12.482 90.00 90.00 90.00
Positions (direct):
Sr: 0.354 0.354 0.354
Sr: 0.646 0.646 0.354
Sr: 0.646 0.354 0.646
Sr: 0.854 0.854 0.854
Sr: 0.354 0.646 0.646
Sr: 0.146 0.146 0.854
Sr: 0.854 0.146 0.146
Sr: 0.146 0.854 0.146
Sr: 0.095 0.133 0.355
Sr: 0.905 0.867 0.355
Sr: 0.905 0.133 0.645
Sr: 0.355 0.095 0.133
Sr: 0.633 0.595 0.855
Sr: 0.095 0.867 0.645
Sr: 0.355 0.905 0.867
Sr: 0.367 0.405 0.855
Sr: 0.645 0.905 0.133
Sr: 0.633 0.405 0.145
Sr: 0.645 0.095 0.867
Sr: 0.367 0.595 0.145
Sr: 0.133 0.355 0.095
Sr: 0.595 0.855 0.633
Sr: 0.133 0.645 0.905
Sr: 0.405 0.145 0.633
Sr: 0.867 0.645 0.095
Sr: 0.595 0.145 0.367
Sr: 0.867 0.355 0.905
Sr: 0.405 0.855 0.367
Sr: 0.855 0.633 0.595
Sr: 0.855 0.367 0.405
Sr: 0.145 0.367 0.595
Sr: 0.145 0.633 0.405
Si: 0.250 0.000 0.500
Si: 0.750 0.000 0.500
Si: 0.500 0.250 0.000
Si: 0.500 0.750 0.000
Si: 0.000 0.500 0.250
Si: 0.000 0.500 0.750
Si: 0.000 0.000 0.000
Si: 0.500 0.500 0.500
P: 0.104 0.386 0.350
P: 0.896 0.614 0.350
P: 0.896 0.386 0.650
P: 0.350 0.104 0.386
P: 0.886 0.604 0.850
P: 0.104 0.614 0.650
P: 0.350 0.896 0.614
P: 0.114 0.396 0.850
P: 0.650 0.896 0.386
P: 0.886 0.396 0.150
P: 0.650 0.104 0.614
P: 0.114 0.604 0.150
P: 0.386 0.350 0.104
P: 0.604 0.850 0.886
P: 0.386 0.650 0.896
P: 0.396 0.150 0.886
P: 0.614 0.650 0.104
P: 0.604 0.150 0.114
P: 0.614 0.350 0.896
P: 0.396 0.850 0.114
P: 0.850 0.886 0.604
P: 0.850 0.114 0.396
P: 0.150 0.114 0.604
P: 0.150 0.886 0.396
P: 0.106 0.106 0.106
P: 0.894 0.894 0.106
P: 0.894 0.106 0.894
P: 0.606 0.606 0.606
P: 0.106 0.894 0.894
P: 0.394 0.394 0.606
P: 0.606 0.394 0.394
P: 0.394 0.606 0.394

- polymorph energy (0 for the lowest one) (meV per atom) = 0
- crystal system = cubic
- magnetic moment (μB/cell) = 0.000
- symmetry = P-43n (218)
- formation energy without anion corrections (eV per atom) = -1.03

Record 7
Entry from the Alexandria database: an optimized crystal structure of SrSiP (PBE-GGA).

Lattice parameters (Å, degrees): 5.865 5.842 3.465 73.14 72.43 34.43
Positions (direct):
P: 0.952 0.952 0.048
Si: 0.382 0.382 0.618
Sr: 0.666 0.666 0.334

- DOS at the Fermi energy (states/eV/f.u.) = 1.2
- crystal system = orthorhombic
- magnetic moment (μB/cell) = 0.000
- symmetry = Fmm2 (42)
- formation energy without anion corrections (eV per atom) = -0.31

Record 8
Entry from the Alexandria database: an optimized crystal structure of Sr2SiP (PBE-GGA).

Lattice parameters (Å, degrees): 8.935 8.935 8.935 26.55 26.55 26.55
Positions (direct):
P: 0.250 0.250 0.250
Si: 0.750 0.750 0.750
Sr: 0.989 0.989 0.989
Sr: 0.511 0.511 0.511

- polymorph energy (0 for the lowest one) (meV per atom) = 159
- DOS at the Fermi energy (states/eV/f.u.) = 4.8
- crystal system = trigonal
- magnetic moment (μB/cell) = 0.744
- symmetry = R-3m (166)
- formation energy without anion corrections (eV per atom) = -0.28

Record 9
Entry from the Alexandria database: an optimized crystal structure of Sr2SiP (PBE-GGA).

Lattice parameters (Å, degrees): 5.517 5.517 5.517 126.65 126.65 78.83
Positions (direct):
P: 0.250 0.750 0.500
Si: 0.750 0.250 0.500
Sr: 0.000 0.000 0.000
Sr: 0.500 0.500 0.000

- polymorph energy (0 for the lowest one) (meV per atom) = 51
- DOS at the Fermi energy (states/eV/f.u.) = 2.1
- crystal system = tetragonal
- magnetic moment (μB/cell) = 0.000
- symmetry = I4/mmm (139)
- formation energy without anion corrections (eV per atom) = -0.38

Record 10
Entry from the Alexandria database: an optimized crystal structure of Sr2SiP (PBE-GGA).

Lattice parameters (Å, degrees): 5.043 4.138 5.045 89.96 90.00 90.00
Positions (direct):
P: 0.000 0.625 0.375
Si: 0.500 0.625 0.876
Sr: 0.000 0.125 0.875
Sr: 0.500 0.125 0.375

- polymorph energy (0 for the lowest one) (meV per atom) = 36
- DOS at the Fermi energy (states/eV/f.u.) = 2.2
- crystal system = orthorhombic
- magnetic moment (μB/cell) = 0.000
- symmetry = Pmm2 (25)
- formation energy without anion corrections (eV per atom) = -0.40

Record 11
Entry from the Alexandria database: an optimized crystal structure of SrSiP (PBE-GGA).

Lattice parameters (Å, degrees): 4.283 4.283 4.427 90.00 90.00 120.00
Positions (direct):
P: 0.000 0.000 0.167
Si: 0.333 0.667 0.167
Sr: 0.667 0.333 0.667

- DOS at the Fermi energy (states/eV/f.u.) = 1.2
- crystal system = hexagonal
- magnetic moment (μB/cell) = 0.000
- symmetry = P-6m2 (187)
- formation energy without anion corrections (eV per atom) = -0.45

Record 12
Entry from the Alexandria database: an optimized crystal structure of Sr2SiP2 (PBE-GGA).

Lattice parameters (Å, degrees): 7.248 7.248 4.514 90.00 90.00 90.00
Positions (direct):
Sr: 0.185 0.685 0.500
Sr: 0.685 0.815 0.500
Sr: 0.815 0.315 0.500
Sr: 0.315 0.185 0.500
Si: 0.000 0.000 0.000
Si: 0.500 0.500 0.000
P: 0.389 0.889 0.000
P: 0.889 0.611 0.000
P: 0.611 0.111 0.000
P: 0.111 0.389 0.000

- DOS at the Fermi energy (states/eV/f.u.) = 1.6
- crystal system = tetragonal
- magnetic moment (μB/cell) = 0.000
- symmetry = P4/mbm (127)
- formation energy without anion corrections (eV per atom) = -0.57

Record 13
Entry from the Alexandria database: an optimized crystal structure of SrSiP (PBE-GGA).

Lattice parameters (Å, degrees): 4.853 4.853 4.853 60.00 60.00 60.00
Positions (direct):
P: 0.750 0.750 0.750
Si: 0.000 0.000 0.000
Sr: 0.500 0.500 0.500

- DOS at the Fermi energy (states/eV/f.u.) = 2.0
- crystal system = cubic
- magnetic moment (μB/cell) = 0.000
- symmetry = F-43m (216)
- formation energy without anion corrections (eV per atom) = 0.01

Record 14
Entry from the Alexandria database: an optimized crystal structure of Sr2SiP (PBE-GGA).

Lattice parameters (Å, degrees): 4.484 4.484 6.339 90.00 90.00 90.00
Positions (direct):
P: 0.000 0.000 0.375
Si: 0.500 0.500 0.875
Sr: 0.000 0.000 0.875
Sr: 0.500 0.500 0.375

- polymorph energy (0 for the lowest one) (meV per atom) = 244
- DOS at the Fermi energy (states/eV/f.u.) = 5.1
- crystal system = tetragonal
- magnetic moment (μB/cell) = 2.108
- symmetry = P4/mmm (123)
- formation energy without anion corrections (eV per atom) = -0.19

Record 15
Entry from the Alexandria database: an optimized crystal structure of Sr2SiP (PBE-GGA).

Lattice parameters (Å, degrees): 5.339 5.339 5.339 60.00 60.00 60.00
Positions (direct):
Sr: 0.250 0.250 0.250
Sr: 0.750 0.750 0.750
Si: 0.000 0.000 0.000
P: 0.500 0.500 0.500

- polymorph energy (0 for the lowest one) (meV per atom) = 92
- DOS at the Fermi energy (states/eV/f.u.) = 2.9
- crystal system = cubic
- magnetic moment (μB/cell) = 0.000
- symmetry = Fm-3m (225)
- formation energy without anion corrections (eV per atom) = -0.34

Record 16
Entry from the Alexandria database: an optimized crystal structure of Sr2SiP (PBE-GGA).

Lattice parameters (Å, degrees): 5.373 5.373 3.711 90.00 90.00 102.68
Positions (direct):
P: 0.500 0.000 0.500
Si: 0.000 0.500 0.500
Sr: 0.000 0.000 0.000
Sr: 0.500 0.500 0.000

- polymorph energy (0 for the lowest one) (meV per atom) = 38
- DOS at the Fermi energy (states/eV/f.u.) = 1.4
- crystal system = orthorhombic
- magnetic moment (μB/cell) = 0.000
- symmetry = Cmmm (65)
- formation energy without anion corrections (eV per atom) = -0.40

Record 17
Entry from the Alexandria database: an optimized crystal structure of Sr2SiP (PBE-GGA).

Lattice parameters (Å, degrees): 3.663 3.663 8.748 90.00 90.00 101.14
Positions (direct):
P: 0.000 0.000 0.575
Si: 0.500 0.500 0.673
Sr: 0.000 0.000 0.922
Sr: 0.500 0.500 0.330

- polymorph energy (0 for the lowest one) (meV per atom) = 261
- DOS at the Fermi energy (states/eV/f.u.) = 2.0
- crystal system = orthorhombic
- magnetic moment (μB/cell) = 0.000
- symmetry = Cmm2 (35)
- formation energy without anion corrections (eV per atom) = -0.17

Record 18
Entry from the Alexandria database: an optimized crystal structure of Sr4SiP (PBE-GGA).

Lattice parameters (Å, degrees): 6.577 6.577 6.577 60.00 60.00 60.00
Positions (direct):
Sr: 0.874 0.375 0.375
Sr: 0.375 0.375 0.874
Sr: 0.375 0.874 0.375
Sr: 0.375 0.375 0.375
Si: 0.000 0.000 0.000
P: 0.750 0.750 0.750

- DOS at the Fermi energy (states/eV/f.u.) = 6.2
- crystal system = cubic
- magnetic moment (μB/cell) = 0.000
- symmetry = F-43m (216)
- formation energy without anion corrections (eV per atom) = 0.64

Record 19
Entry from the Alexandria database: an optimized crystal structure of Sr2SiP (PBE-GGA).

Lattice parameters (Å, degrees): 6.396 6.396 6.396 139.61 139.61 58.45
Positions (direct):
P: 0.500 0.500 0.000
Si: 0.750 0.250 0.500
Sr: 0.000 0.000 0.000
Sr: 0.250 0.750 0.500

- polymorph energy (0 for the lowest one) (meV per atom) = 195
- DOS at the Fermi energy (states/eV/f.u.) = 4.6
- crystal system = tetragonal
- magnetic moment (μB/cell) = 0.002
- symmetry = I-4m2 (119)
- formation energy without anion corrections (eV per atom) = -0.24

Record 20
Entry from the Alexandria database: an optimized crystal structure of SrSi2P2 (PBE-GGA).

Lattice parameters (Å, degrees): 4.599 4.599 5.831 66.78 66.78 90.00
Positions (direct):
Sr: 0.000 0.000 0.000
Si: 0.326 0.326 0.349
Si: 0.674 0.674 0.651
P: 0.750 0.250 0.500
P: 0.250 0.750 0.500

- DOS at the Fermi energy (states/eV/f.u.) = 1.7
- crystal system = tetragonal
- magnetic moment (μB/cell) = 0.000
- symmetry = I4/mmm (139)
- formation energy without anion corrections (eV per atom) = -0.27